# PuGeBr (GGA-PBE, relaxed)
data_PuGeBr
_cell_length_a 7.357
_cell_length_b 4.243
_cell_length_c 11.423
_cell_angle_alpha 90.00
_cell_angle_beta 102.50
_cell_angle_gamma 90.00
_symmetry_space_group_name_H-M 'C 1 2/m 1'
_symmetry_Int_Tables_number 12
loop_
_symmetry_equiv_pos_as_xyz
'x,y,z'
'-x,-y,-z'
'-x,y,-z'
'x,-y,z'
'x+1/2,y+1/2,z'
'-x+1/2,-y+1/2,-z'
'-x+1/2,y+1/2,-z'
'x+1/2,-y+1/2,z'
loop_
_atom_site_label
_atom_site_type_symbol
_atom_site_fract_x
_atom_site_fract_y
_atom_site_fract_z
_atom_site_occupancy
Pu1 Pu 0.063 0.000 0.186 1
Ge1 Ge 0.156 0.500 0.968 1
Br1 Br 0.219 0.000 0.660 1
# Formation energy without anion corrections = -0.889 eV/atom